Below is a relaxed TaBi2O5 crystal, with properties calculated at the GGA-PBE level.

The structure in CIF format:
```
data_TaBi2O5
_chemical_formula_sum 'Ta4 Bi8 O20'
_symmetry_space_group_name_H-M 'P n m a'
_symmetry_Int_Tables_number 62
_cell_length_a 10.291
_cell_length_b 6.575
_cell_length_c 6.444
_cell_angle_alpha 90.00
_cell_angle_beta 90.00
_cell_angle_gamma 90.00
loop_
_symmetry_equiv_pos_as_xyz
'x,y,z'
'-x,-y,-z'
'-x+1/2,-y,z+1/2'
'x+1/2,y,-z+1/2'
'x+1/2,-y+1/2,-z+1/2'
'-x+1/2,y+1/2,z+1/2'
'-x,y+1/2,-z'
'x,-y+1/2,z'
loop_
_atom_site_label
_atom_site_type_symbol
_atom_site_fract_x
_atom_site_fract_y
_atom_site_fract_z
Ta1 Ta 0.002 0.250 0.062
Bi1 Bi 0.179 0.504 0.484
O1 O 0.021 0.250 0.379
O2 O 0.084 0.536 0.135
O3 O 0.157 0.250 0.872
O4 O 0.195 0.750 0.818
```



Below is a relaxed TaBi2O crystal, with properties calculated at the GGA-PBE level.

The structure in CIF format:
```
data_TaBi2O
_chemical_formula_sum 'Ta4 Bi8 O4'
_symmetry_space_group_name_H-M 'I -4 2 d'
_symmetry_Int_Tables_number 122
_symmetry_space_group_name_Hall 'I -4 2bw'
_cell_length_a 7.114
_cell_length_b 7.114
_cell_length_c 6.888
_cell_angle_alpha 90.00
_cell_angle_beta 90.00
_cell_angle_gamma 90.00
loop_
_atom_site_label
_atom_site_type_symbol
_atom_site_fract_x
_atom_site_fract_y
_atom_site_fract_z
Ta1 Ta 0.000 0.000 0.000
Bi1 Bi 0.174 0.250 0.625
O1 O 0.000 0.000 0.500
```



Below is a relaxed Ta2Bi2O9 crystal, with properties calculated at the GGA-PBE level.

The structure in CIF format:
```
data_Ta2Bi2O9
_chemical_formula_sum 'Ta4 Bi4 O18'
_symmetry_space_group_name_H-M 'C 1 2/m 1'
_symmetry_Int_Tables_number 12
_cell_length_a 5.594
_cell_length_b 5.550
_cell_length_c 12.744
_cell_angle_alpha 90.00
_cell_angle_beta 98.20
_cell_angle_gamma 90.00
loop_
_symmetry_equiv_pos_as_xyz
'x,y,z'
'-x,-y,-z'
'-x,y,-z'
'x,-y,z'
'x+1/2,y+1/2,z'
'-x+1/2,-y+1/2,-z'
'-x+1/2,y+1/2,-z'
'x+1/2,-y+1/2,z'
loop_
_atom_site_label
_atom_site_type_symbol
_atom_site_fract_x
_atom_site_fract_y
_atom_site_fract_z
Ta1 Ta 0.070 0.000 0.155
Bi1 Bi 0.245 0.000 0.603
O1 O 0.000 0.000 0.000
O2 O 0.000 0.250 0.500
O3 O 0.099 0.000 0.316
O4 O 0.187 0.249 0.837
```



Computed uncorrected formation energy (eV/f.u.) in order:
-13.614, 1.812, -24.523
Computed density of states at the Fermi level (states/eV per atom) in order:
0.1635, 0.5747, 0.4313
Computed total magnetic moment (μB/cell) in order:
0.00, 0.00, 4.02